[1]
The following is a DFT calculation (SCAN) of a PBEsol-optimized structure of NbGa2HN.

Properties
- E: -14.38 eV/atom
- ρ: 4.592 g/cm3
- Fermi-level density of states: 0.59 states/eV per atom

Lattice parameters (Å, degrees): 5.1280 5.1280 3.4019 90.00 90.00 90.00
Sites, in units of the cell vectors:
Nb: 0.0000 0.0000 0.0000
Ga: 0.0000 0.5000 0.0000
Ga: 0.5000 0.0000 0.0000
H: 0.0000 0.0000 0.5000
N: 0.5000 0.5000 0.5000

---

[2]
The following is a DFT calculation (SCAN) of a PBEsol-optimized structure of Ga2NiP3H8NO14.

Properties
- E: -8.77 eV/atom
- ρ: 3.161 g/cm3
- Fermi-level density of states: 0.00 states/eV per atom

Lattice parameters (Å, degrees): 8.3158 8.3158 8.9002 103.83 103.83 73.93
Sites, in units of the cell vectors:
Ga: 0.0975 0.2436 0.0661
Ga: 0.2436 0.0975 0.5661
Ga: 0.7564 0.9025 0.4339
Ga: 0.9025 0.7564 0.9339
Ni: 0.2755 0.7245 0.7500
Ni: 0.7245 0.2755 0.2500
P: 0.0006 0.9994 0.7500
P: 0.1619 0.4146 0.8183
P: 0.4146 0.1619 0.3183
P: 0.5854 0.8381 0.6817
P: 0.8381 0.5854 0.1817
P: 0.9994 0.0006 0.2500
H: 0.0846 0.6391 0.4584
H: 0.2328 0.4814 0.5089
H: 0.2799 0.6527 0.1552
H: 0.3473 0.7201 0.3448
H: 0.3609 0.9154 0.0416
H: 0.3838 0.5059 0.2763
H: 0.4814 0.2328 0.0089
H: 0.4941 0.6162 0.2237
H: 0.5059 0.3838 0.7763
H: 0.5186 0.7672 0.9911
H: 0.6162 0.4941 0.7237
H: 0.6391 0.0846 0.9584
H: 0.6527 0.2799 0.6552
H: 0.7201 0.3473 0.8448
H: 0.7672 0.5186 0.4911
H: 0.9154 0.3609 0.5416
N: 0.3748 0.6252 0.2500
N: 0.6252 0.3748 0.7500
O: 0.0106 0.4644 0.1548
O: 0.0265 0.8259 0.8000
O: 0.0375 0.8490 0.1148
O: 0.1076 0.2976 0.6576
O: 0.1510 0.9625 0.3852
O: 0.1741 0.9735 0.7000
O: 0.2017 0.6075 0.5215
O: 0.2360 0.3082 0.9508
O: 0.2976 0.1076 0.1576
O: 0.3005 0.4980 0.8087
O: 0.3082 0.2360 0.4508
O: 0.3925 0.7983 0.9785
O: 0.4644 0.0106 0.6548
O: 0.4980 0.3005 0.3087
O: 0.5020 0.6995 0.6913
O: 0.5356 0.9894 0.3452
O: 0.6075 0.2017 0.0215
O: 0.6918 0.7640 0.5492
O: 0.6995 0.5020 0.1913
O: 0.7024 0.8924 0.8424
O: 0.7640 0.6918 0.0492
O: 0.7983 0.3925 0.4785
O: 0.8259 0.0265 0.3000
O: 0.8490 0.0375 0.6148
O: 0.8924 0.7024 0.3424
O: 0.9625 0.1510 0.8852
O: 0.9735 0.1741 0.2000
O: 0.9894 0.5356 0.8452

---

[3]
The following is a DFT calculation (SCAN) of a PBEsol-optimized structure of Ga2P3H12N3O12.

Properties
- E: -8.00 eV/atom
- ρ: 2.749 g/cm3
- Fermi-level density of states: 0.00 states/eV per atom

Lattice parameters (Å, degrees): 8.3870 8.3870 9.1071 106.33 106.33 74.77
Sites, in units of the cell vectors:
Ga: 0.0924 0.2415 0.0776
Ga: 0.2415 0.0924 0.5776
Ga: 0.7585 0.9076 0.4224
Ga: 0.9076 0.7585 0.9224
P: 0.0065 0.9935 0.7500
P: 0.1671 0.4163 0.8401
P: 0.4163 0.1671 0.3401
P: 0.5837 0.8329 0.6599
P: 0.8329 0.5837 0.1599
P: 0.9935 0.0065 0.2500
H: 0.0906 0.6284 0.4432
H: 0.1305 0.6446 0.6380
H: 0.2183 0.4611 0.5201
H: 0.2918 0.6455 0.5635
H: 0.2973 0.5952 0.1660
H: 0.3545 0.7082 0.9365
H: 0.3554 0.8695 0.8620
H: 0.3716 0.9094 0.0568
H: 0.4048 0.7027 0.3340
H: 0.4314 0.4843 0.3010
H: 0.4611 0.2183 0.0201
H: 0.4843 0.4314 0.8010
H: 0.5157 0.5686 0.1990
H: 0.5389 0.7817 0.9799
H: 0.5686 0.5157 0.6990
H: 0.5952 0.2973 0.6660
H: 0.6284 0.0906 0.9432
H: 0.6446 0.1305 0.1380
H: 0.6455 0.2918 0.0635
H: 0.7027 0.4048 0.8340
H: 0.7082 0.3545 0.4365
H: 0.7817 0.5389 0.4799
H: 0.8695 0.3554 0.3620
H: 0.9094 0.3716 0.5568
N: 0.1826 0.5935 0.5391
N: 0.4065 0.8174 0.9609
N: 0.4090 0.5910 0.2500
N: 0.5910 0.4090 0.7500
N: 0.5935 0.1826 0.0391
N: 0.8174 0.4065 0.4609
O: 0.0091 0.4681 0.1516
O: 0.0172 0.8196 0.7836
O: 0.0372 0.8627 0.1085
O: 0.1266 0.3017 0.6714
O: 0.1373 0.9628 0.3915
O: 0.1804 0.9828 0.7164
O: 0.2283 0.3097 0.9662
O: 0.3017 0.1266 0.1714
O: 0.3050 0.5130 0.8577
O: 0.3097 0.2283 0.4662
O: 0.4681 0.0091 0.6516
O: 0.4870 0.6950 0.6423
O: 0.5130 0.3050 0.3577
O: 0.5319 0.9909 0.3484
O: 0.6903 0.7717 0.5338
O: 0.6950 0.4870 0.1423
O: 0.6983 0.8734 0.8286
O: 0.7717 0.6903 0.0338
O: 0.8196 0.0172 0.2836
O: 0.8627 0.0372 0.6085
O: 0.8734 0.6983 0.3286
O: 0.9628 0.1373 0.8915
O: 0.9828 0.1804 0.2164
O: 0.9909 0.5319 0.8484

---

[4]
The following is a DFT calculation (SCAN) of a PBEsol-optimized structure of Ga2P2H9NO11.

Properties
- E: -8.10 eV/atom
- ρ: 2.964 g/cm3
- Fermi-level density of states: 0.00 states/eV per atom

Lattice parameters (Å, degrees): 9.5362 9.6486 12.1926 90.00 126.87 90.00
Sites, in units of the cell vectors:
Ga: 0.0105 0.0376 0.1272
Ga: 0.0105 0.4624 0.6272
Ga: 0.2736 0.7239 0.1768
Ga: 0.2736 0.7761 0.6768
Ga: 0.7264 0.2239 0.3232
Ga: 0.7264 0.2761 0.8232
Ga: 0.9895 0.5376 0.3728
Ga: 0.9895 0.9624 0.8728
P: 0.1561 0.6815 0.8665
P: 0.1561 0.8185 0.3665
P: 0.3579 0.0280 0.1495
P: 0.3579 0.4720 0.6495
P: 0.6421 0.5280 0.3505
P: 0.6421 0.9720 0.8505
P: 0.8439 0.1815 0.6335
P: 0.8439 0.3185 0.1335
H: 0.0446 0.2026 0.9736
H: 0.0446 0.2974 0.4736
H: 0.0490 0.5443 0.1689
H: 0.0490 0.9557 0.6689
H: 0.1561 0.0223 0.6143
H: 0.1561 0.4777 0.1143
H: 0.2306 0.2382 0.6511
H: 0.2306 0.2618 0.1511
H: 0.3272 0.1424 0.9302
H: 0.3272 0.3576 0.4302
H: 0.3335 0.2030 0.3629
H: 0.3335 0.2970 0.8629
H: 0.3577 0.1392 0.6493
H: 0.3577 0.3608 0.1493
H: 0.4536 0.1646 0.8735
H: 0.4536 0.3354 0.3735
H: 0.4849 0.7409 0.4802
H: 0.4849 0.7591 0.9802
H: 0.5151 0.2409 0.0198
H: 0.5151 0.2591 0.5198
H: 0.5464 0.6646 0.6265
H: 0.5464 0.8354 0.1265
H: 0.6423 0.6392 0.8507
H: 0.6423 0.8608 0.3507
H: 0.6665 0.7030 0.1371
H: 0.6665 0.7970 0.6371
H: 0.6728 0.6424 0.5698
H: 0.6728 0.8576 0.0698
H: 0.7694 0.7382 0.8489
H: 0.7694 0.7618 0.3489
H: 0.8439 0.5223 0.8857
H: 0.8439 0.9777 0.3857
H: 0.9510 0.0443 0.3311
H: 0.9510 0.4557 0.8311
H: 0.9554 0.7026 0.5264
H: 0.9554 0.7974 0.0264
N: 0.4045 0.2110 0.9210
N: 0.4045 0.2890 0.4210
N: 0.5955 0.7110 0.5790
N: 0.5955 0.7890 0.0790
O: 0.0071 0.7116 0.3095
O: 0.0071 0.7884 0.8095
O: 0.0541 0.6388 0.5567
O: 0.0541 0.8612 0.0567
O: 0.0663 0.5419 0.7931
O: 0.0663 0.9582 0.2931
O: 0.1189 0.5689 0.1344
O: 0.1189 0.9311 0.6344
O: 0.2297 0.1573 0.5998
O: 0.2297 0.3427 0.0998
O: 0.2355 0.0210 0.9895
O: 0.2355 0.4790 0.4895
O: 0.2538 0.0874 0.2006
O: 0.2538 0.4126 0.7006
O: 0.2647 0.6631 0.0219
O: 0.2647 0.8369 0.5219
O: 0.2854 0.7229 0.8352
O: 0.2854 0.7771 0.3352
O: 0.4254 0.6202 0.7079
O: 0.4254 0.8798 0.2079
O: 0.4873 0.6191 0.3063
O: 0.4873 0.8809 0.8063
O: 0.5127 0.1191 0.1937
O: 0.5127 0.3809 0.6937
O: 0.5746 0.1202 0.7921
O: 0.5746 0.3798 0.2921
O: 0.7146 0.2229 0.6648
O: 0.7146 0.2771 0.1648
O: 0.7353 0.1631 0.4781
O: 0.7353 0.3369 0.9781
O: 0.7462 0.5874 0.2994
O: 0.7462 0.9126 0.7994
O: 0.7645 0.5210 0.5105
O: 0.7645 0.9790 0.0105
O: 0.7703 0.6573 0.9002
O: 0.7703 0.8427 0.4002
O: 0.8811 0.0689 0.3656
O: 0.8811 0.4311 0.8656
O: 0.9337 0.0418 0.7069
O: 0.9337 0.4582 0.2069
O: 0.9459 0.1388 0.9433
O: 0.9459 0.3612 0.4433
O: 0.9929 0.2116 0.1905
O: 0.9929 0.2884 0.6905

---

[5]
The following is a DFT calculation (SCAN) of a PBEsol-optimized structure of Ga2P2H4NO8.

Properties
- E: -9.19 eV/atom
- ρ: 3.021 g/cm3
- Fermi-level density of states: 0.00 states/eV per atom

Lattice parameters (Å, degrees): 9.2105 9.2105 9.0363 92.56 92.56 86.73
Sites, in units of the cell vectors:
Ga: 0.0582 0.8173 0.8452
Ga: 0.1827 0.9418 0.6548
Ga: 0.3275 0.4007 0.6273
Ga: 0.4007 0.3275 0.1273
Ga: 0.5993 0.6725 0.8727
Ga: 0.6725 0.5993 0.3727
Ga: 0.8173 0.0582 0.3452
Ga: 0.9418 0.1827 0.1548
P: 0.0984 0.2094 0.4622
P: 0.2094 0.0984 0.9622
P: 0.2948 0.5587 0.9283
P: 0.4413 0.7052 0.5717
P: 0.5587 0.2948 0.4283
P: 0.7052 0.4413 0.0717
P: 0.7906 0.9016 0.0378
P: 0.9016 0.7906 0.5378
H: 0.0049 0.4514 0.7523
H: 0.0080 0.6973 0.1464
H: 0.0715 0.6970 0.3291
H: 0.1583 0.5879 0.1925
H: 0.3030 0.9285 0.1709
H: 0.3027 0.9920 0.3536
H: 0.4121 0.8417 0.3075
H: 0.4514 0.0049 0.2523
H: 0.5486 0.9951 0.7477
H: 0.5879 0.1583 0.6925
H: 0.6973 0.0080 0.6464
H: 0.6970 0.0715 0.8291
H: 0.8417 0.4121 0.8075
H: 0.9285 0.3030 0.6709
H: 0.9920 0.3027 0.8536
H: 0.9951 0.5486 0.2477
N: 0.0596 0.6332 0.2298
N: 0.3668 0.9404 0.2702
N: 0.6332 0.0596 0.7298
N: 0.9404 0.3668 0.7702
O: 0.0561 0.8124 0.4877
O: 0.0718 0.2002 0.9944
O: 0.1042 0.2445 0.2979
O: 0.1433 0.6231 0.8866
O: 0.1542 0.3424 0.5584
O: 0.1876 0.9439 0.0123
O: 0.2002 0.0718 0.4944
O: 0.2445 0.1042 0.7979
O: 0.2955 0.4988 0.0883
O: 0.3254 0.5916 0.5722
O: 0.3377 0.4216 0.8307
O: 0.3424 0.1542 0.0584
O: 0.3769 0.8567 0.6134
O: 0.4084 0.6746 0.9278
O: 0.4216 0.3377 0.3307
O: 0.4988 0.2955 0.5883
O: 0.5012 0.7045 0.4117
O: 0.5784 0.6623 0.6693
O: 0.5916 0.3254 0.0722
O: 0.6231 0.1433 0.3866
O: 0.6576 0.8458 0.9416
O: 0.6623 0.5784 0.1693
O: 0.6746 0.4084 0.4278
O: 0.7045 0.5012 0.9117
O: 0.7555 0.8958 0.2021
O: 0.7998 0.9282 0.5056
O: 0.8124 0.0561 0.9877
O: 0.8458 0.6576 0.4416
O: 0.8567 0.3769 0.1134
O: 0.8958 0.7555 0.7021
O: 0.9282 0.7998 0.0056
O: 0.9439 0.1876 0.5123

---

[6]
The following is a DFT calculation (SCAN) of a PBEsol-optimized structure of ZnGaP2H4NO8.

Properties
- E: -9.01 eV/atom
- ρ: 2.919 g/cm3
- Fermi-level density of states: 0.00 states/eV per atom

Lattice parameters (Å, degrees): 8.4990 10.1314 9.0668 90.00 90.28 90.00
Sites, in units of the cell vectors:
Zn: 0.0665 0.0000 0.3302
Zn: 0.4224 0.4169 0.9636
Zn: 0.5776 0.9169 0.0364
Zn: 0.9335 0.5000 0.6698
Ga: 0.0837 0.1662 0.8409
Ga: 0.3672 0.6590 0.4331
Ga: 0.6328 0.1590 0.5669
Ga: 0.9163 0.6662 0.1591
P: 0.0240 0.7321 0.4782
P: 0.0678 0.4413 0.9854
P: 0.4333 0.9492 0.3470
P: 0.4367 0.1439 0.8619
P: 0.5633 0.6439 0.1381
P: 0.5667 0.4492 0.6530
P: 0.9322 0.9413 0.0146
P: 0.9760 0.2321 0.5218
H: 0.1622 0.7600 0.9136
H: 0.1933 0.4442 0.4441
H: 0.2358 0.7382 0.7413
H: 0.2710 0.4716 0.2769
H: 0.2968 0.8689 0.8501
H: 0.3371 0.1291 0.4650
H: 0.3567 0.7183 0.8936
H: 0.3828 0.4076 0.4136
H: 0.6172 0.9076 0.5864
H: 0.6433 0.2183 0.1064
H: 0.6629 0.6291 0.5350
H: 0.7032 0.3689 0.1499
H: 0.7290 0.9716 0.7231
H: 0.7642 0.2382 0.2587
H: 0.8067 0.9442 0.5559
H: 0.8378 0.2600 0.0864
N: 0.2618 0.7697 0.8483
N: 0.2946 0.4750 0.3895
N: 0.7054 0.9750 0.6105
N: 0.7382 0.2697 0.1517
O: 0.0120 0.3801 0.5196
O: 0.0211 0.2908 0.9765
O: 0.0483 0.6814 0.3175
O: 0.0640 0.0003 0.9163
O: 0.0725 0.5045 0.8328
O: 0.1096 0.1601 0.4410
O: 0.1876 0.7004 0.5519
O: 0.2267 0.4594 0.0629
O: 0.2755 0.9525 0.2708
O: 0.2844 0.1811 0.7732
O: 0.4217 0.6789 0.2361
O: 0.4271 0.4629 0.7550
O: 0.4301 0.9961 0.8988
O: 0.4437 0.0892 0.4485
O: 0.4500 0.8399 0.4658
O: 0.4511 0.2277 0.0027
O: 0.5489 0.7277 0.9973
O: 0.5500 0.3399 0.5342
O: 0.5563 0.5892 0.5515
O: 0.5699 0.4961 0.1012
O: 0.5729 0.9629 0.2450
O: 0.5783 0.1789 0.7639
O: 0.7156 0.6811 0.2268
O: 0.7245 0.4525 0.7292
O: 0.7733 0.9594 0.9371
O: 0.8124 0.2004 0.4481
O: 0.8904 0.6601 0.5590
O: 0.9275 0.0045 0.1672
O: 0.9360 0.5003 0.0837
O: 0.9517 0.1814 0.6825
O: 0.9789 0.7908 0.0235
O: 0.9880 0.8801 0.4804